1.
Computed, not measured: an optimized crystal structure of TlSnS2 at the PBE level of DFT.

Output
- Raw formation energy: -0.072 eV per atom
- Magnetization: 0.000 μB per atom

Geometry as CIF:
```
data_TlSnS2
_cell_length_a 7.132
_cell_length_b 7.132
_cell_length_c 7.132
_cell_angle_alpha 90.00
_cell_angle_beta 90.00
_cell_angle_gamma 90.00
_symmetry_space_group_name_H-M 'F m -3 m'
_symmetry_Int_Tables_number 225
_symmetry_space_group_name_Hall '-F 4 2 3'
loop_
_atom_site_label
_atom_site_type_symbol
_atom_site_fract_x
_atom_site_fract_y
_atom_site_fract_z
Tl1 Tl 0.000 0.000 0.000
Sn1 Sn 0.000 0.000 0.500
S1 S 0.250 0.250 0.250
```


2.
Computed, not measured: an optimized crystal structure of TlSn2S4 at the PBE level of DFT.

Output
- Excess energy over the best structure of this formula in the dataset: 0.0 meV per atom
- Raw formation energy: -0.342 eV per atom
- Magnetization: 0.000 μB per atom

Geometry as CIF:
```
data_TlSn2S4
_cell_length_a 7.610
_cell_length_b 7.611
_cell_length_c 8.985
_cell_angle_alpha 106.28
_cell_angle_beta 97.96
_cell_angle_gamma 119.82
_symmetry_space_group_name_H-M 'P 1'
_symmetry_Int_Tables_number 1
loop_
_symmetry_equiv_pos_as_xyz
'x,y,z'
loop_
_atom_site_label
_atom_site_type_symbol
_atom_site_fract_x
_atom_site_fract_y
_atom_site_fract_z
Tl1 Tl 0.000 0.000 0.000
Tl2 Tl 0.348 0.449 0.807
Sn1 Sn 0.150 0.710 0.380
Sn2 Sn 0.658 0.103 0.772
Sn3 Sn 0.664 0.713 0.382
Sn4 Sn 0.665 0.225 0.380
S1 S 0.416 0.142 0.566
S2 S 0.420 0.790 0.212
S3 S 0.425 0.683 0.577
S4 S 0.439 0.300 0.211
S5 S 0.886 0.145 0.577
S6 S 0.908 0.768 0.210
S7 S 0.909 0.654 0.571
S8 S 0.930 0.297 0.230
```